Material: V2ReRu2
Method: DFT, PBE
State: relaxed

Output
DFT formation energy (eV per atom): 0.0159
Offset from the most stable computed form (meV per atom): 0

The structure in extended XYZ format:
```
10
Lattice="7.088 0.000 0.000 0.000 7.088 0.000 0.000 0.000 2.822" Properties=species:S:1:pos:R:3 pbc="T T T"
V 1.073 2.471 0.000
V 2.471 6.015 0.000
V 4.617 1.073 0.000
V 6.015 4.617 0.000
Re 0.000 0.000 0.000
Re 3.544 3.544 0.000
Ru 1.065 4.609 1.411
Ru 2.478 1.065 1.411
Ru 4.609 6.022 1.411
Ru 6.022 2.478 1.411
```